# 1
A relaxed structure of CePrCuPd, computed with PBE.

Unit cell a=5.098 b=5.098 c=5.098 alpha=60.00 beta=60.00 gamma=60.00
Fractional positions:
Ce  0.000  0.000  0.000
Pr  0.500  0.500  0.500
Cu  0.250  0.250  0.250
Pd  0.750  0.750  0.750

Summary:
Formation energy (eV/atom): -0.345
D(E_F) (states/eV/atom): 2.16
V (Å³/cell): 93.7

# 2
A relaxed structure of Ce2Cu2PdPt5, computed with PBE.

Unit cell a=9.285 b=9.285 c=4.017 alpha=90.00 beta=90.00 gamma=90.00
Fractional positions:
Ce  0.181  0.319  0.000
Ce  0.319  0.819  0.000
Ce  0.681  0.181  0.000
Ce  0.819  0.681  0.000
Cu  0.118  0.618  0.000
Cu  0.382  0.118  0.000
Cu  0.618  0.882  0.000
Cu  0.882  0.382  0.000
Pd  0.000  0.000  0.000
Pd  0.500  0.500  0.000
Pt  0.000  0.500  0.500
Pt  0.069  0.794  0.500
Pt  0.206  0.069  0.500
Pt  0.294  0.569  0.500
Pt  0.431  0.294  0.500
Pt  0.500  0.000  0.500
Pt  0.569  0.706  0.500
Pt  0.706  0.431  0.500
Pt  0.794  0.931  0.500
Pt  0.931  0.206  0.500

Summary:
Formation energy (eV/atom): -0.721
D(E_F) (states/eV/atom): 0.44
V (Å³/cell): 346.3

# 3
A relaxed structure of CeCuPdRu, computed with PBE.

Unit cell a=3.805 b=3.986 c=4.430 alpha=90.00 beta=90.00 gamma=90.00
Fractional positions:
Ce  0.000  0.000  0.000
Cu  0.000  0.500  0.500
Pd  0.500  0.000  0.500
Ru  0.500  0.500  0.000

Summary:
Formation energy (eV/atom): -0.390
D(E_F) (states/eV/atom): 0.78
V (Å³/cell): 67.2

Respective uncorrected energy values: -5.345; -6.267; -6.514 eV/atom.